RbPdO3: optimized geometry, PBE.

The space group is Pnma (No. 62) and the conventional cell measures 5.6673, 8.1731 and 5.7136 Å, with angles of 90.00, 90.00 and 90.00 degrees. The inequivalent atoms are Rb at (0.0141, 0.2500, 0.0025), Pd at (0.0000, 0.0000, 0.5000), O at (0.0071, 0.2500, 0.5353) and O at (0.2179, 0.5149, 0.7816).

The value obtained for the uncorrected energy is -4.52 eV/atom.